BaGa3Ir: relaxed, GGA-PBE.

Results
- E_form (meV per atom) = -113
- N(E_F) (states/eV per cell) = 3.56

CIF file:
```
data_BaGa3Ir
_space_group_name_H-M_alt 'P 4 m m'
_space_group_IT_number 99
_cell_length_a 4.202
_cell_length_b 4.202
_cell_length_c 8.164
_cell_angle_alpha 90.00
_cell_angle_beta 90.00
_cell_angle_gamma 90.00
loop_
_space_group_symop_operation_xyz
'x,y,z'
'-y,x,z'
'-x,-y,z'
'y,-x,z'
'-x,y,z'
'y,x,z'
'x,-y,z'
'-y,-x,z'
loop_
_atom_site_label
_atom_site_type_symbol
_atom_site_fract_x
_atom_site_fract_y
_atom_site_fract_z
Ba1 Ba 0.000 0.000 0.000
Ga1 Ga 0.000 0.000 0.576
Ga2 Ga 0.000 0.500 0.365
Ir1 Ir 0.500 0.500 0.197
```


Ba4Ga3Ir: relaxed, GGA-PBE.

Results
- E_form (meV per atom) = -347
- N(E_F) (states/eV per cell) = 6.02

CIF file:
```
data_Ba4Ga3Ir
_space_group_name_H-M_alt 'P m m 2'
_space_group_IT_number 25
_cell_length_a 4.530
_cell_length_b 5.039
_cell_length_c 11.968
_cell_angle_alpha 90.00
_cell_angle_beta 90.00
_cell_angle_gamma 90.00
loop_
_space_group_symop_operation_xyz
'x,y,z'
'-x,-y,z'
'-x,y,z'
'x,-y,z'
loop_
_atom_site_label
_atom_site_type_symbol
_atom_site_fract_x
_atom_site_fract_y
_atom_site_fract_z
Ba1 Ba 0.000 0.000 0.000
Ba2 Ba 0.000 0.500 0.477
Ba3 Ba 0.500 0.000 0.704
Ba4 Ba 0.500 0.500 0.200
Ga1 Ga 0.000 0.500 0.794
Ga2 Ga 0.500 0.000 0.389
Ga3 Ga 0.500 0.500 0.904
Ir1 Ir 0.000 0.000 0.299
```


BaGa3Ir: relaxed, GGA-PBE.

Results
- E_form (meV per atom) = -183
- N(E_F) (states/eV per cell) = 4.74

CIF file:
```
data_BaGa3Ir
_space_group_name_H-M_alt 'I -4 m 2'
_space_group_IT_number 119
_space_group_name_Hall 'I -4 -2'
_cell_length_a 4.805
_cell_length_b 4.805
_cell_length_c 24.803
_cell_angle_alpha 90.00
_cell_angle_beta 90.00
_cell_angle_gamma 90.00
loop_
_atom_site_label
_atom_site_type_symbol
_atom_site_fract_x
_atom_site_fract_y
_atom_site_fract_z
Ba1 Ba 0.000 0.000 0.000
Ba2 Ba 0.000 0.500 0.250
Ga1 Ga 0.000 0.000 0.402
Ga2 Ga 0.000 0.246 0.127
Ir1 Ir 0.000 0.500 0.613
```


BaGa2Ir: relaxed, GGA-PBE.

Results
- E_form (meV per atom) = 41
- N(E_F) (states/eV per cell) = 13.86

CIF file:
```
data_BaGa2Ir
_space_group_name_H-M_alt 'F m -3 m'
_space_group_IT_number 225
_space_group_name_Hall '-F 4 2 3'
_cell_length_a 7.001
_cell_length_b 7.001
_cell_length_c 7.001
_cell_angle_alpha 90.00
_cell_angle_beta 90.00
_cell_angle_gamma 90.00
loop_
_atom_site_label
_atom_site_type_symbol
_atom_site_fract_x
_atom_site_fract_y
_atom_site_fract_z
Ba1 Ba 0.000 0.000 0.000
Ga1 Ga 0.250 0.250 0.250
Ir1 Ir 0.000 0.000 0.500
```


Ba2Ga4Ir3: relaxed, GGA-PBE.

Results
- E_form (meV per atom) = -332
- N(E_F) (states/eV per cell) = 32.35

CIF file:
```
data_Ba2Ga4Ir3
_space_group_name_H-M_alt 'F m m m'
_space_group_IT_number 69
_space_group_name_Hall '-F 2 2'
_cell_length_a 5.874
_cell_length_b 10.152
_cell_length_c 13.613
_cell_angle_alpha 90.00
_cell_angle_beta 90.00
_cell_angle_gamma 90.00
loop_
_atom_site_label
_atom_site_type_symbol
_atom_site_fract_x
_atom_site_fract_y
_atom_site_fract_z
Ba1 Ba 0.000 0.000 0.133
Ga1 Ga 0.000 0.172 0.358
Ir1 Ir 0.000 0.000 0.500
Ir2 Ir 0.250 0.250 0.000
```


BaGa3Ir: relaxed, GGA-PBE.

Results
- E_form (meV per atom) = 1922
- N(E_F) (states/eV per cell) = 6.84

CIF file:
```
data_BaGa3Ir
_space_group_name_H-M_alt 'P m -3 m'
_space_group_IT_number 221
_space_group_name_Hall '-P 4 2 3'
_cell_length_a 5.742
_cell_length_b 5.742
_cell_length_c 5.742
_cell_angle_alpha 90.00
_cell_angle_beta 90.00
_cell_angle_gamma 90.00
loop_
_atom_site_label
_atom_site_type_symbol
_atom_site_fract_x
_atom_site_fract_y
_atom_site_fract_z
Ba1 Ba 0.000 0.000 0.000
Ga1 Ga 0.000 0.000 0.500
Ir1 Ir 0.500 0.500 0.500
```


Ba3Ga4Ir4: relaxed, GGA-PBE.

Results
- E_form (meV per atom) = -457
- N(E_F) (states/eV per cell) = 18.58

CIF file:
```
data_Ba3Ga4Ir4
_space_group_name_H-M_alt 'I -4 3 m'
_space_group_IT_number 217
_space_group_name_Hall 'I -4 2 3'
_cell_length_a 7.975
_cell_length_b 7.975
_cell_length_c 7.975
_cell_angle_alpha 90.00
_cell_angle_beta 90.00
_cell_angle_gamma 90.00
loop_
_atom_site_label
_atom_site_type_symbol
_atom_site_fract_x
_atom_site_fract_y
_atom_site_fract_z
Ba1 Ba 0.000 0.000 0.500
Ga1 Ga 0.192 0.192 0.192
Ir1 Ir 0.126 0.126 0.874
```


BaGa3Ir: relaxed, GGA-PBE.

Results
- E_form (meV per atom) = -458
- N(E_F) (states/eV per cell) = 3.90

CIF file:
```
data_BaGa3Ir
_space_group_name_H-M_alt 'P -1'
_space_group_IT_number 2
_cell_length_a 4.403
_cell_length_b 6.110
_cell_length_c 9.130
_cell_angle_alpha 105.97
_cell_angle_beta 98.37
_cell_angle_gamma 97.44
loop_
_space_group_symop_operation_xyz
'x,y,z'
'-x,-y,-z'
loop_
_atom_site_label
_atom_site_type_symbol
_atom_site_fract_x
_atom_site_fract_y
_atom_site_fract_z
Ba1 Ba 0.112 0.343 0.151
Ga1 Ga 0.092 0.935 0.338
Ga2 Ga 0.236 0.386 0.548
Ga3 Ga 0.468 0.112 0.836
Ir1 Ir 0.342 0.810 0.564
```


BaGa3Ir: relaxed, GGA-PBE.

Results
- E_form (meV per atom) = 8
- N(E_F) (states/eV per cell) = 5.90

CIF file:
```
data_BaGa3Ir
_space_group_name_H-M_alt 'P 63/m m c'
_space_group_IT_number 194
_space_group_name_Hall '-P 6c 2c'
_cell_length_a 4.2004
_cell_length_b 4.2004
_cell_length_c 19.9026
_cell_angle_alpha 90.00
_cell_angle_beta 90.00
_cell_angle_gamma 120.00
loop_
_atom_site_label
_atom_site_type_symbol
_atom_site_fract_x
_atom_site_fract_y
_atom_site_fract_z
Ba1 Ba 0.0000 0.0000 0.0000
Ga1 Ga 0.0000 0.0000 0.2500
Ga2 Ga 0.3333 0.6667 0.1290
Ir1 Ir 0.3333 0.6667 0.2500
```


BaGa2Ir: relaxed, GGA-PBE.

Results
- E_form (meV per atom) = -384
- N(E_F) (states/eV per cell) = 14.63

CIF file:
```
data_BaGa2Ir
_space_group_name_H-M_alt 'I 41/a m d'
_space_group_IT_number 141
_cell_length_a 5.533
_cell_length_b 5.533
_cell_length_c 15.508
_cell_angle_alpha 90.00
_cell_angle_beta 90.00
_cell_angle_gamma 90.00
loop_
_space_group_symop_operation_xyz
'x,y,z'
'-x,-y,-z'
'-y+1/4,x+3/4,z+1/4'
'y+1/4,-x+3/4,-z+1/4'
'-x+1/2,-y,z+1/2'
'x+1/2,y,-z+1/2'
'y+1/4,-x+1/4,z+3/4'
'-y+1/4,x+1/4,-z+3/4'
'x,-y,-z'
'-x,y,z'
'-y+1/4,-x+1/4,-z+3/4'
'y+1/4,x+1/4,z+3/4'
'-x+1/2,y,-z+1/2'
'x+1/2,-y,z+1/2'
'y+1/4,x+3/4,-z+1/4'
'-y+1/4,-x+3/4,z+1/4'
'x+1/2,y+1/2,z+1/2'
'-x+1/2,-y+1/2,-z+1/2'
'-y+3/4,x+1/4,z+3/4'
'y+3/4,-x+1/4,-z+3/4'
'-x,-y+1/2,z'
'x,y+1/2,-z'
'y+3/4,-x+3/4,z+1/4'
'-y+3/4,x+3/4,-z+1/4'
'x+1/2,-y+1/2,-z+1/2'
'-x+1/2,y+1/2,z+1/2'
'-y+3/4,-x+3/4,-z+1/4'
'y+3/4,x+3/4,z+1/4'
'-x,y+1/2,-z'
'x,-y+1/2,z'
'y+3/4,x+1/4,-z+3/4'
'-y+3/4,-x+1/4,z+3/4'
loop_
_atom_site_label
_atom_site_type_symbol
_atom_site_fract_x
_atom_site_fract_y
_atom_site_fract_z
Ba1 Ba 0.000 0.250 0.375
Ga1 Ga 0.000 0.000 0.000
Ir1 Ir 0.000 0.250 0.875
```


KBa2GaIr: relaxed, GGA-PBE.

Results
- E_form (meV per atom) = -133
- N(E_F) (states/eV per cell) = 3.34

CIF file:
```
data_KBa2GaIr
_space_group_name_H-M_alt 'P 4/m m m'
_space_group_IT_number 123
_space_group_name_Hall '-P 4 2'
_cell_length_a 6.230
_cell_length_b 6.230
_cell_length_c 4.997
_cell_angle_alpha 90.00
_cell_angle_beta 90.00
_cell_angle_gamma 90.00
loop_
_atom_site_label
_atom_site_type_symbol
_atom_site_fract_x
_atom_site_fract_y
_atom_site_fract_z
K1 K 0.000 0.000 0.000
Ba1 Ba 0.000 0.500 0.500
Ga1 Ga 0.500 0.500 0.000
Ir1 Ir 0.500 0.500 0.500
```


BaLaGaIr2: relaxed, GGA-PBE.

Results
- E_form (meV per atom) = 1666
- N(E_F) (states/eV per cell) = 4.34

CIF file:
```
data_BaLaGaIr2
_space_group_name_H-M_alt 'P 4/m m m'
_space_group_IT_number 123
_space_group_name_Hall '-P 4 2'
_cell_length_a 5.152
_cell_length_b 5.152
_cell_length_c 5.727
_cell_angle_alpha 90.00
_cell_angle_beta 90.00
_cell_angle_gamma 90.00
loop_
_atom_site_label
_atom_site_type_symbol
_atom_site_fract_x
_atom_site_fract_y
_atom_site_fract_z
Ba1 Ba 0.000 0.000 0.000
La1 La 0.000 0.000 0.500
Ga1 Ga 0.500 0.500 0.500
Ir1 Ir 0.000 0.500 0.000
```